No. 1
DFT (PBE) results for a geometry-optimized DyAl6Cu3 structure.

Summary:
Energy of formation from the pure elements = -0.1801 eV/atom
VASP energy = -4.115 eV per atom

abc: 8.692 4.040 9.838
angles: 90.00 96.95 90.00
Space group P2_1/m (No. 11)
Inequivalent atoms, fractional coordinates:
Dy 0.015 0.250 0.205
Al 0.099 0.750 0.459
Al 0.198 0.250 0.948
Al 0.213 0.250 0.679
Al 0.360 0.250 0.214
Al 0.412 0.750 0.576
Al 0.496 0.750 0.093
Cu 0.213 0.750 0.091
Cu 0.292 0.250 0.448
Cu 0.343 0.750 0.834


No. 2
DFT (PBE) results for a geometry-optimized DyAl2Cu4 structure.

Summary:
E above lowest polymorph = 0 meV per atom
Energy of formation from the pure elements = -0.3459 eV/atom
VASP energy = -4.413 eV per atom

abc: 6.409 6.409 5.133
angles: 90.00 90.00 90.00
Space group I4/mmm (No. 139)
Inequivalent atoms, fractional coordinates:
Dy 0.000 0.000 0.000
Al 0.000 0.500 0.250
Cu 0.191 0.191 0.500


No. 3
DFT (PBE) results for a geometry-optimized Dy2Al3GaCu4 structure.

Summary:
Energy of formation from the pure elements = -0.4074 eV/atom
VASP energy = -4.392 eV per atom

abc: 4.129 4.129 10.156
angles: 90.00 90.00 90.00
Space group P-4m2 (No. 115)
Inequivalent atoms, fractional coordinates:
Dy 0.000 0.500 0.247
Al 0.000 0.500 0.871
Al 0.500 0.500 0.500
Ga 0.000 0.000 0.500
Cu 0.000 0.000 0.000
Cu 0.000 0.500 0.636
Cu 0.500 0.500 0.000